! Cs2Pa3CoO12 PBE with a Hubbard U optimized geometry; values from VASP
! **Density**: 6.0 g/cm3
! **Magnetization**: 4.12 μB per cell
! **Raw total energy**: -137.9 eV per formula unit
&SYSTEM
  ibrav = 0, nat = 18, ntyp = 4
/
ATOMIC_SPECIES
Pa 231.04 Pa.upf
Cs 132.91 Cs.upf
O 16.00 O.upf
Co 58.93 Co.upf
ATOMIC_POSITIONS angstrom
Pa 1.814 1.056 3.198
Cs 9.350 5.442 3.860
O 8.978 8.330 5.908
Pa 3.824 -0.086 -0.061
O 9.567 2.714 1.925
Co 0.000 0.000 0.000
O 3.227 4.982 0.245
Cs 5.554 3.233 2.293
O 7.820 4.552 0.204
O 5.926 0.345 0.245
O 7.084 6.978 1.925
O 5.338 5.962 4.228
O 11.677 3.693 5.908
O 7.820 1.697 4.228
Pa 1.814 3.368 -0.061
O 11.677 6.797 1.532
O 7.084 4.124 5.950
O 3.227 1.878 4.621
CELL_PARAMETERS angstrom
7.648 -0.171 -0.122
3.628 6.735 -0.122
3.628 2.112 6.397